The following is a PBE-GGA calculation of an optimized crystal structure of K2Rb5Na5, from Alexandria.

Lattice parameters (Å, degrees): 6.845 8.548 14.656 77.16 76.50 66.40
Atoms (fractional coordinates):
K 0.916 0.440 0.727
K 0.084 0.560 0.273
Rb 0.500 0.500 0.500
Rb 0.342 0.328 0.988
Rb 0.388 0.960 0.263
Rb 0.612 0.040 0.737
Rb 0.658 0.672 0.012
Na 0.809 0.919 0.464
Na 0.240 0.750 0.770
Na 0.760 0.250 0.230
Na 0.191 0.081 0.536
Na 0.000 0.000 0.000

Summary:
* total moment: 0.0 μB/f.u.
* space group: C2/m
* DOS at the Fermi energy: 7.4 states/eV per cell
* raw total energy: -13.15 eV/cell
* ΔE_f: 0.9 kcal/mol of atoms

The following is a PBE-GGA calculation of an optimized crystal structure of K2Rb2Na, from Alexandria.

Lattice parameters (Å, degrees): 5.690 5.690 12.854 77.21 77.21 90.00
Atoms (fractional coordinates):
Na 0.000 0.000 0.000
K 0.750 0.250 0.500
K 0.250 0.750 0.500
Rb 0.409 0.409 0.182
Rb 0.591 0.591 0.818

Summary:
* total moment: 0.0 μB/f.u.
* space group: I4/mmm
* DOS at the Fermi energy: 4.2 states/eV per cell
* raw total energy: -4.92 eV/cell
* ΔE_f: 2.4 kcal/mol of atoms

The following is a PBE-GGA calculation of an optimized crystal structure of K4Rb3Na7, from Alexandria.

Lattice parameters (Å, degrees): 6.547 11.925 11.436 99.22 73.37 74.07
Atoms (fractional coordinates):
K 0.721 0.370 0.189
K 0.279 0.630 0.811
K 0.880 0.898 0.342
K 0.120 0.102 0.658
Rb 0.324 0.115 0.236
Rb 0.676 0.885 0.764
Rb 0.000 0.500 0.500
Na 0.419 0.725 0.437
Na 0.409 0.272 0.909
Na 0.851 0.438 0.861
Na 0.581 0.275 0.563
Na 0.149 0.562 0.139
Na 0.000 0.000 0.000
Na 0.591 0.728 0.091

Summary:
* total moment: 0.0 μB/f.u.
* space group: C2/m
* DOS at the Fermi energy: 8.2 states/eV per cell
* raw total energy: -16.06 eV/cell
* ΔE_f: 0.8 kcal/mol of atoms

Q: Which of these has the lowest ΔE_f?
A: K4Rb3Na7